Entry 1:
This record from Alexandria via LeMat-Bulk describes a PBEsol-optimized structure of InP2Se. The functional is meta-GGA SCAN.

Properties
energy relative to the elements, uncorrected: 34.49 kJ/mol of atoms
N(E_F): 3.16 states/eV per cell
E: -18.208 eV per atom
energy above the lowest structure with this stoichiometry: 316.7 meV per atom

a b c (Å): 7.4648 7.4661 2.8183
angles (deg): 90.00 91.20 90.00
Last column: nearest neighbours and their distance in Å.
Space group C2/m (No. 12)
Asymmetric unit:
In  0.0000  0.0000  0.0000  4 P 2.64, 2 In 2.82
P  0.2500  0.2500  0.0000  2 In 2.64, 2 Se 2.64, 2 P 2.82
Se  0.0000  0.5000  0.0000  4 P 2.64, 2 Se 2.82

Entry 2:
This record from Alexandria via LeMat-Bulk describes a PBEsol-optimized structure of InP2Se. The functional is meta-GGA SCAN.

Properties
energy relative to the elements, uncorrected: 52.68 kJ/mol of atoms
N(E_F): 2.62 states/eV per cell
E: -18.020 eV per atom
energy above the lowest structure with this stoichiometry: 505.2 meV per atom

a b c (Å): 3.6366 3.7217 5.8600
angles (deg): 90.00 90.00 90.00
Last column: nearest neighbours and their distance in Å.
Space group Pmmm (No. 47)
Asymmetric unit:
In  0.0000  0.0000  0.0000  4 P 2.60
P  0.0000  0.5000  0.5000  4 Se 2.60
P  0.5000  0.5000  0.0000  4 In 2.60
Se  0.5000  0.0000  0.5000  4 P 2.60

Entry 3:
This record from Alexandria via LeMat-Bulk describes a PBEsol-optimized structure of InP2Se. The functional is meta-GGA SCAN.

Properties
energy relative to the elements, uncorrected: 63.59 kJ/mol of atoms
N(E_F): 9.90 states/eV per cell
E: -17.906 eV per atom
energy above the lowest structure with this stoichiometry: 618.3 meV per atom

a b c (Å): 6.6075 6.6075 6.6075
angles (deg): 90.00 90.00 90.00
Last column: nearest neighbours and their distance in Å.
Space group F-43m (No. 216)
Asymmetric unit:
In  0.0000  0.0000  0.0000  4 Se 2.86, 4 P 2.86
P  0.0000  0.0000  0.5000  4 Se 2.86, 4 P 2.86
P  0.2500  0.2500  0.7500  4 In 2.86, 4 P 2.86
Se  0.2500  0.2500  0.2500  4 In 2.86, 4 P 2.86

Entry 4:
This record from Alexandria via LeMat-Bulk describes a PBEsol-optimized structure of InP2Se. The functional is meta-GGA SCAN.

Properties
energy relative to the elements, uncorrected: 3.94 kJ/mol of atoms
N(E_F): 2.15 states/eV per cell
E: -18.525 eV per atom
energy above the lowest structure with this stoichiometry: 0.0 meV per atom

a b c (Å): 3.6594 5.3924 7.8871
angles (deg): 90.00 90.00 90.00
Last column: nearest neighbours and their distance in Å.
Space group Amm2 (No. 38)
Asymmetric unit:
In  0.0000  0.0000  0.0000  4 P 2.71-2.83, 2 Se 2.74
P  0.0000  0.0000  0.5389  2 P 2.36
P  0.5000  0.0000  0.7270  2 P 2.36
Se  0.5000  0.0000  0.2583  4 P 2.71-2.87, 2 In 2.74

Entry 5:
This record from Alexandria via LeMat-Bulk describes a PBEsol-optimized structure of In2P3Se9. The functional is meta-GGA SCAN.

Properties
energy relative to the elements, uncorrected: -30.38 kJ/mol of atoms
E: -20.220 eV per atom

a b c (Å): 6.3545 7.5875 14.7971
angles (deg): 88.37 78.03 89.40
Last column: nearest neighbours and their distance in Å.
Space group P-1 (No. 2)
Asymmetric unit:
In  0.0600  0.3818  0.3796  6 Se 2.76-2.86
In  0.2834  0.9269  0.9324  6 Se 2.69-2.86
P  0.1539  0.0332  0.2051  3 Se 2.17-2.24, 1 P 2.26
P  0.1819  0.2984  0.1303  3 Se 2.17-2.24, 1 P 2.26
P  0.4721  0.3696  0.5384  3 Se 2.19-2.24, 1 P 2.25
Se  0.0296  0.8518  0.1111  1 P 2.24
Se  0.0878  0.9360  0.6690  1 P 2.17
Se  0.1425  0.6198  0.8810  1 P 2.18
Se  0.1971  0.7048  0.4430  1 P 2.24
Se  0.2663  0.4225  0.6732  1 P 2.19
Se  0.3304  0.4716  0.2134  1 P 2.17
Se  0.3646  0.1843  0.4472  1 P 2.19
Se  0.4094  0.2554  0.9952  1 P 2.24
Se  0.4710  0.9613  0.2297  1 P 2.18

Entry 6:
This record from Alexandria via LeMat-Bulk describes a PBEsol-optimized structure of InP2Se. The functional is meta-GGA SCAN.

Properties
energy relative to the elements, uncorrected: 48.25 kJ/mol of atoms
N(E_F): 1.61 states/eV per cell
E: -18.065 eV per atom
energy above the lowest structure with this stoichiometry: 459.3 meV per atom

a b c (Å): 3.8789 3.8789 5.4451
angles (deg): 90.00 90.00 90.00
Last column: nearest neighbours and their distance in Å.
Space group P4/mmm (No. 123)
Asymmetric unit:
In  0.0000  0.0000  0.0000  2 Se 2.72, 8 P 2.95
P  0.5000  0.5000  0.1973  1 P 2.15
Se  0.0000  0.0000  0.5000  2 In 2.72

Entry 7:
This record from Alexandria via LeMat-Bulk describes a PBEsol-optimized structure of TlInP2Se6. The functional is meta-GGA SCAN.

Properties
energy relative to the elements, uncorrected: -32.64 kJ/mol of atoms
N(E_F): 0.00 states/eV per cell
E: -25.040 eV per atom

a b c (Å): 6.4236 7.5259 12.0421
angles (deg): 100.56 93.68 113.64
Last column: nearest neighbours and their distance in Å.
Space group P-1 (No. 2)
Asymmetric unit:
Tl  0.1753  0.3240  0.0397  6 Se 3.18-3.51
In  0.2904  0.0616  0.5943  6 Se 2.71-2.86
P  0.0672  0.6558  0.2950  3 Se 2.15-2.26, 1 P 2.26
P  0.2023  0.9515  0.2446  3 Se 2.16-2.25, 1 P 2.26
Se  0.0632  0.2882  0.5385  1 P 2.26
Se  0.0976  0.9801  0.7830  1 P 2.21
Se  0.2067  0.5596  0.8358  1 P 2.15
Se  0.3401  0.9146  0.0877  1 P 2.16
Se  0.3594  0.5763  0.3155  1 P 2.20
Se  0.4689  0.1664  0.3926  1 P 2.25

Entry 8:
This record from Alexandria via LeMat-Bulk describes a PBEsol-optimized structure of In2SiP. The functional is meta-GGA SCAN.

Properties
energy relative to the elements, uncorrected: 24.29 kJ/mol of atoms
N(E_F): 2.50 states/eV per cell
E: -21.545 eV per atom
energy above the lowest structure with this stoichiometry: 114.7 meV per atom

a b c (Å): 10.9650 3.3817 4.9387
angles (deg): 90.00 116.72 90.00
Last column: nearest neighbours and their distance in Å.
Space group Cm (No. 8)
Asymmetric unit:
In  0.0000  0.0000  0.0000  4 Si 3.05, 6 In 3.19-3.38, 4 P 3.22-3.28
In  0.2065  0.0000  0.7066  4 P 3.07-3.08, 4 Si 3.10-3.37, 6 In 3.19-3.38
Si  0.4411  0.0000  0.4410  2 P 2.31
P  0.2801  0.5000  0.2811  2 Si 2.31

Entry 9:
This record from Alexandria via LeMat-Bulk describes a PBEsol-optimized structure of InSiP2. The functional is meta-GGA SCAN.

Properties
energy relative to the elements, uncorrected: 60.88 kJ/mol of atoms
N(E_F): 3.17 states/eV per cell
E: -15.419 eV per atom
energy above the lowest structure with this stoichiometry: 0.0 meV per atom

a b c (Å): 3.6354 3.6354 10.8822
angles (deg): 90.00 90.00 90.00
Last column: nearest neighbours and their distance in Å.
Space group I-4m2 (No. 119)
Asymmetric unit:
In  0.0000  0.0000  0.0000  4 P 2.57
Si  0.0000  0.5000  0.7500  4 P 2.57
P  0.0000  0.0000  0.5000  4 In 2.57
P  0.0000  0.5000  0.2500  4 Si 2.57

Entry 10:
This record from Alexandria via LeMat-Bulk describes a PBEsol-optimized structure of In3SiP. The functional is meta-GGA SCAN.

Properties
energy relative to the elements, uncorrected: 60.79 kJ/mol of atoms
N(E_F): 0.36 states/eV per cell
E: -23.485 eV per atom

a b c (Å): 5.0448 5.0448 5.0448
angles (deg): 90.00 90.00 90.00
Last column: nearest neighbours and their distance in Å.
Space group Pm-3m (No. 221)
Asymmetric unit:
In  0.0000  0.0000  0.5000  2 Si 2.52
Si  0.0000  0.0000  0.0000  6 In 2.52
P  0.5000  0.5000  0.5000  12 In 3.57

Entry 11:
This record from Alexandria via LeMat-Bulk describes a PBEsol-optimized structure of In2SiP. The functional is meta-GGA SCAN.

Properties
energy relative to the elements, uncorrected: 36.52 kJ/mol of atoms
N(E_F): 3.49 states/eV per cell
E: -21.418 eV per atom
energy above the lowest structure with this stoichiometry: 241.4 meV per atom

a b c (Å): 5.6179 7.6360 4.4930
angles (deg): 90.00 119.83 90.00
Last column: nearest neighbours and their distance in Å.
Space group C2/m (No. 12)
Asymmetric unit:
In  0.2500  0.2500  0.0000  2 Si 2.74, 2 P 2.74, 2 In 2.81
Si  0.0000  0.0000  0.5000  4 In 2.74, 2 P 2.81
P  0.0000  0.5000  0.5000  4 In 2.74, 2 Si 2.81

Entry 12:
This record from Alexandria via LeMat-Bulk describes a PBEsol-optimized structure of InSiP2. The functional is meta-GGA SCAN.

Properties
energy relative to the elements, uncorrected: 73.46 kJ/mol of atoms
N(E_F): 1.62 states/eV per cell
E: -15.289 eV per atom
energy above the lowest structure with this stoichiometry: 130.4 meV per atom

a b c (Å): 3.3407 4.4455 4.5815
angles (deg): 90.00 90.00 90.00
Last column: nearest neighbours and their distance in Å.
Space group Pmmm (No. 47)
Asymmetric unit:
In  0.0000  0.0000  0.0000  4 P 2.78, 4 Si 2.84
Si  0.5000  0.0000  0.5000  4 P 2.78, 4 In 2.84
P  0.0000  0.5000  0.5000  4 Si 2.78, 4 P 2.84
P  0.5000  0.5000  0.0000  4 In 2.78, 4 P 2.84

Please write out number 3 again, unchanged.
This record from Alexandria via LeMat-Bulk describes a PBEsol-optimized structure of InP2Se. The functional is meta-GGA SCAN.

Properties
energy relative to the elements, uncorrected: 63.59 kJ/mol of atoms
N(E_F): 9.90 states/eV per cell
E: -17.906 eV per atom
energy above the lowest structure with this stoichiometry: 618.3 meV per atom

a b c (Å): 6.6075 6.6075 6.6075
angles (deg): 90.00 90.00 90.00
Last column: nearest neighbours and their distance in Å.
Space group F-43m (No. 216)
Asymmetric unit:
In  0.0000  0.0000  0.0000  4 Se 2.86, 4 P 2.86
P  0.0000  0.0000  0.5000  4 Se 2.86, 4 P 2.86
P  0.2500  0.2500  0.7500  4 In 2.86, 4 P 2.86
Se  0.2500  0.2500  0.2500  4 In 2.86, 4 P 2.86

Question: Number 1 is which compound?
Answer: InP2Se